CsTi2GePt after structural relaxation, computed with PBE-GGA.

Computed properties:
D(E_F): 1.496 states/eV per atom
Energy of formation from the pure elements: 990 kJ/mol of formula units

Geometry as extended XYZ:
```
5
Lattice="-1.240 0.547 4.822 2.674 -4.206 1.165 4.087 2.802 0.733" Properties=species:S:1:pos:R:3 pbc="T T T"
Ti -0.620 0.273 2.411
Cs 0.000 0.000 0.000
Ge 2.761 -0.429 3.360
Pt 1.337 -2.103 0.582
Ti 2.043 1.401 0.367
```

=====

NaSc2SnH after structural relaxation, computed with PBE-GGA.

Computed properties:
D(E_F): 0.452 states/eV per atom
Total energy: -4.600 eV/atom

Geometry as extended XYZ:
```
5
Lattice="-1.842 3.079 -2.818 -3.104 -3.070 -1.325 -2.711 1.343 3.240" Properties=species:S:1:pos:R:3 pbc="T T T"
H 0.000 0.000 0.000
Sc -1.552 -1.535 -0.663
Sc -0.921 1.540 -1.409
Sn -3.829 0.676 -0.452
Na -1.355 0.671 1.620
```